# Sr3MnAs3 PBE optimized geometry
# magnetic moment	0.571	μB/atom
# energy	-138.0	eV/cell
# formation energy from the elements	-0.905	eV/atom
data_Sr3MnAs3
_chemical_formula_sum 'Sr12 Mn4 As12'
_cell_length_a 12.793
_cell_length_b 4.477
_cell_length_c 13.931
_cell_angle_alpha 90.00
_cell_angle_beta 90.00
_cell_angle_gamma 90.00
_space_group_name_H-M_alt 'P 1'
_space_group_IT_number 1
loop_
_space_group_symop_operation_xyz
'x,y,z'
loop_
_atom_site_label
_atom_site_type_symbol
_atom_site_fract_x
_atom_site_fract_y
_atom_site_fract_z
Sr1 Sr 0.075 0.250 0.105
Sr2 Sr 0.137 0.750 0.492
Sr3 Sr 0.221 0.750 0.786
Sr4 Sr 0.279 0.250 0.286
Sr5 Sr 0.363 0.250 0.992
Sr6 Sr 0.425 0.750 0.605
Sr7 Sr 0.575 0.250 0.395
Sr8 Sr 0.637 0.750 0.008
Sr9 Sr 0.721 0.750 0.714
Sr10 Sr 0.779 0.250 0.214
Sr11 Sr 0.863 0.250 0.508
Sr12 Sr 0.925 0.750 0.895
Mn1 Mn 0.052 0.250 0.705
Mn2 Mn 0.448 0.750 0.205
Mn3 Mn 0.552 0.250 0.795
Mn4 Mn 0.948 0.750 0.295
As1 As 0.032 0.250 0.340
As2 As 0.097 0.250 0.881
As3 As 0.228 0.250 0.623
As4 As 0.272 0.750 0.123
As5 As 0.403 0.750 0.381
As6 As 0.468 0.750 0.840
As7 As 0.532 0.250 0.160
As8 As 0.597 0.250 0.619
As9 As 0.728 0.250 0.877
As10 As 0.772 0.750 0.377
As11 As 0.903 0.750 0.119
As12 As 0.968 0.750 0.660


# SrMn2As PBE optimized geometry
# magnetic moment	1.976	μB/atom
# energy	-23.0	eV/cell
# formation energy from the elements	0.416	eV/atom
data_SrMn2As
_chemical_formula_sum 'Sr1 Mn2 As1'
_cell_length_a 6.098
_cell_length_b 6.098
_cell_length_c 3.142
_cell_angle_alpha 104.61
_cell_angle_beta 104.61
_cell_angle_gamma 120.45
_space_group_name_H-M_alt 'P 1'
_space_group_IT_number 1
loop_
_space_group_symop_operation_xyz
'x,y,z'
loop_
_atom_site_label
_atom_site_type_symbol
_atom_site_fract_x
_atom_site_fract_y
_atom_site_fract_z
Sr1 Sr 0.000 0.000 0.000
Mn1 Mn 0.000 0.500 0.500
Mn2 Mn 0.500 0.000 0.500
As1 As 0.500 0.500 0.000


# SrMn2As PBE optimized geometry
# magnetic moment	2.071	μB/atom
# energy	-23.3	eV/cell
# formation energy from the elements	0.331	eV/atom
data_SrMn2As
_chemical_formula_sum 'Sr1 Mn2 As1'
_cell_length_a 5.725
_cell_length_b 5.725
_cell_length_c 5.725
_cell_angle_alpha 136.18
_cell_angle_beta 136.18
_cell_angle_gamma 63.71
_space_group_name_H-M_alt 'P 1'
_space_group_IT_number 1
loop_
_space_group_symop_operation_xyz
'x,y,z'
loop_
_atom_site_label
_atom_site_type_symbol
_atom_site_fract_x
_atom_site_fract_y
_atom_site_fract_z
Sr1 Sr 0.000 0.000 0.000
Mn1 Mn 0.250 0.750 0.500
Mn2 Mn 0.750 0.250 0.500
As1 As 0.500 0.500 0.000


# Sr2MnAs2 PBE optimized geometry
# magnetic moment	0.618	μB/atom
# energy	-49.5	eV/cell
# formation energy from the elements	-0.586	eV/atom
data_Sr2MnAs2
_chemical_formula_sum 'Sr4 Mn2 As4'
_cell_length_a 7.416
_cell_length_b 7.416
_cell_length_c 4.629
_cell_angle_alpha 90.00
_cell_angle_beta 90.00
_cell_angle_gamma 90.00
_space_group_name_H-M_alt 'P 1'
_space_group_IT_number 1
loop_
_space_group_symop_operation_xyz
'x,y,z'
loop_
_atom_site_label
_atom_site_type_symbol
_atom_site_fract_x
_atom_site_fract_y
_atom_site_fract_z
Sr1 Sr 0.161 0.339 0.000
Sr2 Sr 0.339 0.839 0.000
Sr3 Sr 0.661 0.161 0.000
Sr4 Sr 0.839 0.661 0.000
Mn1 Mn 0.000 0.000 0.500
Mn2 Mn 0.500 0.500 0.500
As1 As 0.153 0.653 0.500
As2 As 0.347 0.153 0.500
As3 As 0.653 0.847 0.500
As4 As 0.847 0.347 0.500